An optimized crystal structure of MnCoOF2, computed with GGA+U.

```
MnCoOF2
1.0
4.0301 0.0000 0.0000
0.0000 4.0301 0.0000
0.0000 0.0000 3.9031
Mn Co O F
1 1 1 2
Cartesian
0.0000 0.0000 0.0000
2.0150 2.0150 1.9515
0.0000 0.0000 1.9515
0.0000 2.0150 0.0000
2.0150 0.0000 0.0000
```

## Properties
Mass density = 4.40 g/cm3
Volume = 63 Å³ per cell
Fermi-level density of states = 2.19 states/eV per atom
Energy above the lowest structure with this stoichiometry = 0.0678 eV/atom